A plane-wave DFT calculation with PBE was carried out for crystalline MgRu3Br at its relaxed geometry.

Cell lengths 4.550, 4.550, 4.550 Å; angles 90.00, 90.00, 90.00 degrees
Sites, in units of the cell vectors:
Mg (0.000, 0.000, 0.000)
Ru (0.000, 0.500, 0.500)
Ru (0.500, 0.000, 0.500)
Ru (0.500, 0.500, 0.000)
Br (0.500, 0.500, 0.500)

E_form (uncorrected)   1.194 eV/atom